This record from OQMD via LeMat-Bulk describes a relaxed YCoNi crystal. The functional is PBE.

```
data_YCoNi
_chemical_formula_sum 'Y2 Co2 Ni2'
_space_group_name_H-M_alt 'P 63/m m c'
_space_group_IT_number 194
_space_group_name_Hall '-P 6c 2c'
_cell_length_a 3.9142
_cell_length_b 3.9142
_cell_length_c 7.7152
_cell_angle_alpha 90.00
_cell_angle_beta 90.00
_cell_angle_gamma 120.00
loop_
_atom_site_label
_atom_site_type_symbol
_atom_site_fract_x
_atom_site_fract_y
_atom_site_fract_z
Y1 Y 0.0000 0.0000 0.0000
Co1 Co 0.3333 0.6667 0.2500
Ni1 Ni 0.3333 0.6667 0.7500
```

Energy of formation from the pure elements, meV per atom: -241.5
Distance to the lowest polymorph of the same formula, meV per atom: 0.0

***

This record from OQMD via LeMat-Bulk describes a relaxed ZrZnCoNi crystal. The functional is PBE.

```
data_ZrZnCoNi
_chemical_formula_sum 'Zr4 Zn4 Co4 Ni4'
_space_group_name_H-M_alt 'F -4 3 m'
_space_group_IT_number 216
_space_group_name_Hall 'F -4 2 3'
_cell_length_a 6.070
_cell_length_b 6.070
_cell_length_c 6.070
_cell_angle_alpha 90.00
_cell_angle_beta 90.00
_cell_angle_gamma 90.00
loop_
_atom_site_label
_atom_site_type_symbol
_atom_site_fract_x
_atom_site_fract_y
_atom_site_fract_z
Zr1 Zr 0.000 0.000 0.000
Zn1 Zn 0.000 0.000 0.500
Co1 Co 0.250 0.250 0.750
Ni1 Ni 0.250 0.250 0.250
```

Energy of formation from the pure elements, meV per atom: -311.2
Distance to the lowest polymorph of the same formula, meV per atom: 0.0

***

This record from OQMD via LeMat-Bulk describes a relaxed ZrZnCoNi crystal. The functional is PBE.

```
data_ZrZnCoNi
_chemical_formula_sum 'Zr4 Zn4 Co4 Ni4'
_space_group_name_H-M_alt 'F -4 3 m'
_space_group_IT_number 216
_space_group_name_Hall 'F -4 2 3'
_cell_length_a 6.121
_cell_length_b 6.121
_cell_length_c 6.121
_cell_angle_alpha 90.00
_cell_angle_beta 90.00
_cell_angle_gamma 90.00
loop_
_atom_site_label
_atom_site_type_symbol
_atom_site_fract_x
_atom_site_fract_y
_atom_site_fract_z
Zr1 Zr 0.000 0.000 0.000
Zn1 Zn 0.250 0.250 0.250
Co1 Co 0.000 0.000 0.500
Ni1 Ni 0.250 0.250 0.750
```

Energy of formation from the pure elements, meV per atom: -65.7
Distance to the lowest polymorph of the same formula, meV per atom: 245.5

***

This record from OQMD via LeMat-Bulk describes a relaxed Zr6CoNi crystal. The functional is PBE.

```
data_Zr6CoNi
_chemical_formula_sum 'Zr12 Co2 Ni2'
_space_group_name_H-M_alt 'A m m 2'
_space_group_IT_number 38
_cell_length_a 9.086
_cell_length_b 3.248
_cell_length_c 10.776
_cell_angle_alpha 90.00
_cell_angle_beta 90.00
_cell_angle_gamma 90.00
loop_
_space_group_symop_operation_xyz
'x,y,z'
'-x,-y,z'
'-x,y,z'
'x,-y,z'
'x,y+1/2,z+1/2'
'-x,-y+1/2,z+1/2'
'-x,y+1/2,z+1/2'
'x,-y+1/2,z+1/2'
loop_
_atom_site_label
_atom_site_type_symbol
_atom_site_fract_x
_atom_site_fract_y
_atom_site_fract_z
Zr1 Zr 0.000 0.000 0.000
Zr2 Zr 0.196 0.000 0.718
Zr3 Zr 0.300 0.000 0.450
Zr4 Zr 0.500 0.000 0.159
Co1 Co 0.000 0.000 0.308
Ni1 Ni 0.500 0.000 0.857
```

Energy of formation from the pure elements, meV per atom: -225.8

***

This record from OQMD via LeMat-Bulk describes a relaxed Zr2CoNi crystal. The functional is PBE.

```
data_Zr2CoNi
_chemical_formula_sum 'Zr8 Co4 Ni4'
_space_group_name_H-M_alt 'A m m 2'
_space_group_IT_number 38
_cell_length_a 3.851
_cell_length_b 5.613
_cell_length_c 12.283
_cell_angle_alpha 90.00
_cell_angle_beta 90.00
_cell_angle_gamma 90.00
loop_
_space_group_symop_operation_xyz
'x,y,z'
'-x,-y,z'
'-x,y,z'
'x,-y,z'
'x,y+1/2,z+1/2'
'-x,-y+1/2,z+1/2'
'-x,y+1/2,z+1/2'
'x,-y+1/2,z+1/2'
loop_
_atom_site_label
_atom_site_type_symbol
_atom_site_fract_x
_atom_site_fract_y
_atom_site_fract_z
Zr1 Zr 0.000 0.000 0.000
Zr2 Zr 0.000 0.248 0.254
Zr3 Zr 0.500 0.000 0.574
Co1 Co 0.500 0.230 0.894
Ni1 Ni 0.000 0.000 0.440
Ni2 Ni 0.500 0.000 0.146
```

Energy of formation from the pure elements, meV per atom: -108.6
Distance to the lowest polymorph of the same formula, meV per atom: 293.9

***

This record from OQMD via LeMat-Bulk describes a relaxed Zr2CoNi crystal. The functional is PBE.

```
data_Zr2CoNi
_chemical_formula_sum 'Zr8 Co4 Ni4'
_space_group_name_H-M_alt 'C m c m'
_space_group_IT_number 63
_space_group_name_Hall '-C 2c 2'
_cell_length_a 6.189
_cell_length_b 9.823
_cell_length_c 4.315
_cell_angle_alpha 90.00
_cell_angle_beta 90.00
_cell_angle_gamma 90.00
loop_
_atom_site_label
_atom_site_type_symbol
_atom_site_fract_x
_atom_site_fract_y
_atom_site_fract_z
Zr1 Zr 0.247 0.118 0.250
Co1 Co 0.000 0.160 0.750
Ni1 Ni 0.000 0.347 0.250
```

Energy of formation from the pure elements, meV per atom: -323.6
Distance to the lowest polymorph of the same formula, meV per atom: 79.0